24
Lattice="6.3632 -3.7341 0.0000 6.3632 3.7341 0.0000 0.0000 0.0000 5.6071" Properties=species:S:1:pos:R:3 comment="Li2NiP2O7 (GGA+U, relaxed)" m_tot_mub_per_atom=0.167 e_tot_ev_per_cell=-153.7 volume_a3_per_cell=266.45 space_group="Cmcm, No. 63" n_ef_per_ev_atom=0.000 de_polymorph_mev_per_atom=55.2 pbc="T T T"
Li 2.5774 0.0000 0.0000
Li 2.5774 0.0000 2.8035
Li 10.1490 0.0000 0.0000
Li 10.1490 0.0000 2.8035
Ni 6.3632 1.8549 4.2053
Ni 6.3632 -1.8549 1.4018
P 4.9327 1.3135 1.4018
P 7.7937 1.3135 1.4018
P 4.9327 -1.3135 4.2053
P 7.7937 -1.3135 4.2053
O 5.0022 2.1687 0.1239
O 5.0022 2.1687 2.6796
O 3.8227 0.3012 1.4018
O 7.7242 2.1687 0.1239
O 7.7242 2.1687 2.6796
O 3.8227 -0.3012 4.2053
O 6.3632 0.4188 1.4018
O 6.3632 -0.4188 4.2053
O 8.9037 0.3012 1.4018
O 5.0022 -2.1687 2.9274
O 5.0022 -2.1687 5.4831
O 8.9037 -0.3012 4.2053
O 7.7242 -2.1687 2.9274
O 7.7242 -2.1687 5.4831